# 1
Below is KPd4F12 after structural relaxation, with properties calculated at the PBE-GGA level. Values from VASP.

The structure in Quantum ESPRESSO input format:
```
&SYSTEM
  ibrav = 0, nat = 17, ntyp = 3
/
ATOMIC_SPECIES
Pd 106.42 Pd.upf
F 19.00 F.upf
K 39.10 K.upf
CELL_PARAMETERS angstrom
-6.938 0.763 0.443
2.344 -3.349 5.675
3.017 6.297 -0.404
ATOMIC_POSITIONS crystal
Pd 0.000 0.500 0.000
Pd 0.500 0.500 0.500
Pd 0.500 0.000 0.000
Pd 0.000 0.000 0.500
F 0.721 0.926 0.205
F 0.721 0.516 0.795
F 0.205 0.279 0.484
F 0.516 0.795 0.721
F 0.279 0.484 0.205
F 0.279 0.074 0.795
F 0.795 0.721 0.516
F 0.484 0.205 0.279
F 0.926 0.205 0.721
F 0.795 0.279 0.074
F 0.205 0.721 0.926
F 0.074 0.795 0.279
K 0.000 0.000 0.000
```

Summary:
The spin magnetization is 0.000 μB/f.u. As for the density of states at the Fermi level: 9.116 states/eV/f.u. The density is 4.37 g/cm³. The raw total energy comes out at -68.85 eV/cell.

---

# 2
Below is K2PdF7 after structural relaxation, with properties calculated at the PBE-GGA level. Values from VASP.

The structure in Quantum ESPRESSO input format:
```
&SYSTEM
  ibrav = 0, nat = 20, ntyp = 3
/
ATOMIC_SPECIES
F 19.00 F.upf
K 39.10 K.upf
Pd 106.42 Pd.upf
CELL_PARAMETERS angstrom
5.856 0.000 2.856
2.670 6.811 1.956
-0.286 -1.068 8.019
ATOMIC_POSITIONS crystal
F 0.790 0.180 0.997
F 0.758 0.529 0.824
F 0.032 0.680 0.497
F 0.303 0.239 0.594
F 0.968 0.320 0.503
F 0.111 0.971 0.676
F 0.242 0.471 0.176
F 0.210 0.820 0.003
F 0.362 0.750 0.250
F 0.638 0.250 0.750
F 0.697 0.761 0.406
F 0.889 0.029 0.324
F 0.136 0.261 0.906
F 0.864 0.739 0.094
K 0.431 0.077 0.269
K 0.223 0.577 0.769
K 0.777 0.423 0.231
K 0.569 0.923 0.731
Pd 0.065 0.750 0.250
Pd 0.935 0.250 0.750
```

Summary:
The spin magnetization is 1.059 μB/f.u. As for the density of states at the Fermi level: 0.284 states/eV/f.u. The density is 3.20 g/cm³. The raw total energy comes out at -75.83 eV/cell.

---

# 3
Below is KPdF3 after structural relaxation, with properties calculated at the PBE-GGA level. Values from VASP.

The structure in Quantum ESPRESSO input format:
```
&SYSTEM
  ibrav = 0, nat = 5, ntyp = 3
/
ATOMIC_SPECIES
K 39.10 K.upf
F 19.00 F.upf
Pd 106.42 Pd.upf
CELL_PARAMETERS angstrom
4.306 0.000 0.000
0.000 4.306 0.000
0.000 0.000 4.306
ATOMIC_POSITIONS crystal
K 0.500 0.500 0.500
F 0.000 0.000 0.500
F 0.000 0.500 0.000
F 0.500 0.000 0.000
Pd 0.000 0.000 0.000
```

Summary:
The spin magnetization is 0.000 μB/f.u. As for the density of states at the Fermi level: 1.375 states/eV/f.u. The density is 4.21 g/cm³. The raw total energy comes out at -21.20 eV/cell.

---

Formation energy (no corrections) readings, ordered: -1443 -1743 -1860 meV per atom